An optimized crystal structure of U2Si4Ni3Pd. Source: Alexandria, functional PBE.

- raw formation energy (meV/atom) = -590
- space-group type = P-4m2
- N(E_F) (states/eV/atom) = 1.793
- VASP energy (eV per atom) = -7.27

a b c (Å): 3.9958 3.9958 9.6409
angles (deg): 90.00 90.00 90.00
Last column: nearest neighbours and their distance in Å.
Fractional positions:
Si1 0.5000 0.0000 0.6425  3 Ni 2.29-2.42, 2 Pd 2.42
Si2 0.5000 0.5000 0.0000  4 Ni 2.31
Si3 0.0000 0.0000 0.0000  4 Ni 2.31
Si4 0.0000 0.5000 0.3575  3 Ni 2.29-2.42, 2 Pd 2.42
U1 0.5000 0.0000 0.2423  8 Si 3.04-3.07, 6 Ni 3.06-3.19, 2 Pd 3.19
U2 0.0000 0.5000 0.7577  8 Si 3.04-3.07, 6 Ni 3.06-3.19, 2 Pd 3.19
Ni1 0.5000 0.0000 0.8798  5 Si 2.29-2.31
Ni2 0.0000 0.5000 0.1202  5 Si 2.29-2.31
Ni3 0.0000 0.0000 0.5000  4 Si 2.42
Pd1 0.5000 0.5000 0.5000  4 Si 2.42

---

An optimized crystal structure of YSi2NiPd. Source: Alexandria, functional PBE.

- raw formation energy (meV/atom) = -875
- space-group type = I-4m2
- N(E_F) (states/eV/atom) = 0.724
- VASP energy (eV per atom) = -6.53

a b c (Å): 4.0627 4.0627 5.6933
angles (deg): 110.90 110.90 90.00
Last column: nearest neighbours and their distance in Å.
Fractional positions:
Pd1 0.7500 0.2500 0.5000  4 Si 2.40
Si1 0.6205 0.6205 0.2410  1 Si 2.37, 2 Pd 2.40, 2 Ni 2.40
Si2 0.3795 0.3795 0.7590  1 Si 2.37, 2 Ni 2.40, 2 Pd 2.40
Ni1 0.2500 0.7500 0.5000  4 Si 2.40
Y1 0.0000 0.0000 0.0000  8 Si 3.11, 4 Pd 3.19, 4 Ni 3.19

---

An optimized crystal structure of Y2Si3Ni12Pd. Source: Alexandria, functional PBE.

- raw formation energy (meV/atom) = -102
- space-group type = R-3m
- N(E_F) (states/eV/atom) = 0.798
- VASP energy (eV per atom) = -5.87

a b c (Å): 6.2860 6.2860 6.2860
angles (deg): 85.58 85.58 85.58
Last column: nearest neighbours and their distance in Å.
Fractional positions:
Si1 0.0000 0.5000 0.0000  2 Ni 2.24
Si2 0.5000 0.0000 0.0000  2 Ni 2.24
Si3 0.0000 0.0000 0.5000  2 Ni 2.24
Y1 0.6670 0.6670 0.6670  6 Ni 2.50-2.74
Y2 0.3330 0.3330 0.3330  6 Ni 2.50-2.74
Pd1 0.0000 0.0000 0.0000  6 Ni 2.46
Ni1 0.8096 0.3052 0.8096  1 Si 2.24, 1 Ni 2.33, 1 Pd 2.46, 1 Y 2.50
Ni2 0.6114 0.1042 0.6114  2 Ni 2.33-2.55, 2 Si 2.54
Ni3 0.1904 0.6948 0.1904  1 Si 2.24, 1 Ni 2.33, 1 Pd 2.46, 1 Y 2.50
Ni4 0.1042 0.6114 0.6114  2 Ni 2.33-2.55, 2 Si 2.54
Ni5 0.6114 0.6114 0.1042  2 Ni 2.33-2.55, 2 Si 2.54
Ni6 0.6948 0.1904 0.1904  1 Si 2.24, 1 Ni 2.33, 1 Pd 2.46, 1 Y 2.50
Ni7 0.8096 0.8096 0.3052  1 Si 2.24, 1 Ni 2.33, 1 Pd 2.46, 1 Y 2.50
Ni8 0.1904 0.1904 0.6948  1 Si 2.24, 1 Ni 2.33, 1 Pd 2.46, 1 Y 2.50
Ni9 0.3886 0.8958 0.3886  2 Ni 2.33-2.55, 2 Si 2.54
Ni10 0.8958 0.3886 0.3886  2 Ni 2.33-2.55, 2 Si 2.54
Ni11 0.3052 0.8096 0.8096  1 Si 2.24, 1 Ni 2.33, 1 Pd 2.46, 1 Y 2.50
Ni12 0.3886 0.3886 0.8958  2 Ni 2.33-2.55, 2 Si 2.54

---

An optimized crystal structure of ZnSiNiPd. Source: Alexandria, functional PBE.

- raw formation energy (meV/atom) = -357
- space-group type = F-43m
- N(E_F) (states/eV/atom) = 0.531
- VASP energy (eV per atom) = -4.78

a b c (Å): 4.1904 4.1904 4.1904
angles (deg): 60.00 60.00 60.00
Last column: nearest neighbours and their distance in Å.
Fractional positions:
Ni1 0.0000 0.0000 0.0000  4 Zn 2.57, 4 Si 2.57
Zn1 0.7500 0.7500 0.7500  4 Ni 2.57, 4 Pd 2.57
Pd1 0.5000 0.5000 0.5000  4 Zn 2.57, 4 Si 2.57
Si1 0.2500 0.2500 0.2500  4 Ni 2.57, 4 Pd 2.57

---

An optimized crystal structure of Sm6Ni2Pd. Source: Alexandria, functional PBE.

- formation energy (eV/f.u.) = -3.0
- space-group type = Immm
- N(E_F) (states/eV/atom) = 0.989
- VASP energy (eV per atom) = -5.34

a b c (Å): 8.4353 8.4354 8.4358
angles (deg): 108.07 109.01 111.34
Last column: nearest neighbours and their distance in Å.
Fractional positions:
Pd1 0.0000 0.5000 0.5000  8 Sm 3.13-3.42
Pd2 0.0000 0.0000 0.0000  8 Sm 3.02-3.15, 2 Ni 3.34
Sm1 0.0999 0.2766 0.8233  3 Ni 2.98-3.09, 1 Pd 3.15
Sm2 0.8140 0.2431 0.0570  1 Ni 2.85, 2 Pd 3.02-3.13
Sm3 0.3112 0.6389 0.3277  3 Ni 2.74-2.93
Sm4 0.6888 0.0164 0.3277  3 Ni 2.74-2.93
Sm5 0.1860 0.2431 0.4291  1 Ni 2.85, 2 Pd 3.02-3.13
Sm6 0.3112 0.9836 0.6723  3 Ni 2.74-2.93
Sm7 0.5467 0.7234 0.8233  3 Ni 2.98-3.09, 1 Pd 3.15
Sm8 0.8140 0.7569 0.5709  1 Ni 2.85, 2 Pd 3.02-3.13
Sm9 0.1860 0.7569 0.9430  1 Ni 2.85, 2 Pd 3.02-3.13
Sm10 0.9001 0.7234 0.1767  3 Ni 2.98-3.09, 1 Pd 3.15
Sm11 0.4533 0.2766 0.1767  3 Ni 2.98-3.09, 1 Pd 3.15
Sm12 0.6888 0.3611 0.6723  3 Ni 2.74-2.93
Ni1 0.5000 0.6187 0.1187  1 Ni 2.35
Ni2 0.5000 0.3813 0.8813  1 Ni 2.35
Ni3 0.3412 0.0000 0.3412  8 Sm 2.85-3.09, 1 Ni 3.11
Ni4 0.6588 0.0000 0.6588  8 Sm 2.85-3.09, 1 Ni 3.11

---

An optimized crystal structure of SmNiPd2. Source: Alexandria, functional PBE.

- formation energy (eV/f.u.) = -2.2
- space-group type = P4/mmm
- N(E_F) (states/eV/atom) = 1.319
- VASP energy (eV per atom) = -5.78

a b c (Å): 4.0695 4.1179 4.1179
angles (deg): 90.00 90.00 90.00
Last column: nearest neighbours and their distance in Å.
Fractional positions:
Pd1 0.0000 0.0000 0.5000  4 Ni 2.89, 4 Sm 2.89, 4 Pd 2.91
Pd2 0.0000 0.5000 0.0000  4 Ni 2.89, 4 Sm 2.89, 4 Pd 2.91
Sm1 0.5000 0.0000 0.0000  8 Pd 2.89, 4 Ni 2.91
Ni1 0.5000 0.5000 0.5000  8 Pd 2.89, 4 Sm 2.91

---

Which value of N(E_F) does entry 2 give?
0.724 states/eV/atom

---

Among the records above, which one has the lowest VASP energy?
U2Si4Ni3Pd

---

Among the records above, which one has the highest N(E_F)?
U2Si4Ni3Pd